1.
Material: Tb6SiTe5
Method: DFT, PBE-GGA
State: optimized geometry

The structure in CIF format:
```
data_Tb6SiTe5
_chemical_formula_sum 'Tb12 Si2 Te10'
_space_group_name_H-M_alt 'C 1 2/m 1'
_space_group_IT_number 12
_space_group_name_Hall '-C 2y'
_cell_length_a 7.538
_cell_length_b 13.041
_cell_length_c 7.532
_cell_angle_alpha 90.00
_cell_angle_beta 109.41
_cell_angle_gamma 90.00
loop_
_atom_site_label
_atom_site_fract_x
_atom_site_fract_y
_atom_site_fract_z
Tb1 0.224 0.000 0.264
Tb2 0.228 0.152 0.729
Si1 0.000 0.000 0.500
Te1 0.000 0.175 0.000
Te2 0.000 0.335 0.500
Te3 0.000 0.500 0.000
```

Output
- DOS(E_F): 6.76 states/eV/f.u.
- ρ: 7702 kg/m3
- Raw total energy: -5.3838 eV per atom
- V: 29.099 A^3/atom
- Energy relative to the elements, uncorrected: -1.308 eV/atom

***

2.
Material: LaAg2Au2
Method: DFT, PBE-GGA
State: optimized geometry

The structure in CIF format:
```
data_LaAg2Au2
_chemical_formula_sum 'La2 Ag4 Au4'
_space_group_name_H-M_alt 'I 4/m m m'
_space_group_IT_number 139
_space_group_name_Hall '-I 4 2'
_cell_length_a 4.091
_cell_length_b 4.091
_cell_length_c 13.523
_cell_angle_alpha 90.00
_cell_angle_beta 90.00
_cell_angle_gamma 90.00
loop_
_atom_site_label
_atom_site_fract_x
_atom_site_fract_y
_atom_site_fract_z
La1 0.000 0.000 0.000
Ag1 0.000 0.500 0.250
Au1 0.000 0.000 0.397
```

Output
- Energy of formation: -0.433 eV/atom
- Energy above the most stable polymorph in this dataset: 0.0 meV/atom
- DOS(E_F): 2.34 states/eV/f.u.
- ρ: 10984 kg/m3
- Raw total energy: -3.8704 eV per atom
- V: 22.633 A^3/atom

***

3.
Material: CsSbAu2Se4
Method: DFT, PBE-GGA
State: optimized geometry

The structure in CIF format:
```
data_CsSbAu2Se4
_chemical_formula_sum 'Cs2 Sb2 Au4 Se8'
_space_group_name_H-M_alt 'I 2 2 2'
_space_group_IT_number 23
_space_group_name_Hall 'I 2 2'
_cell_length_a 6.729
_cell_length_b 8.863
_cell_length_c 9.642
_cell_angle_alpha 90.00
_cell_angle_beta 90.00
_cell_angle_gamma 90.00
loop_
_atom_site_label
_atom_site_fract_x
_atom_site_fract_y
_atom_site_fract_z
Cs1 0.000 0.000 0.000
Sb1 0.000 0.000 0.500
Au1 0.000 0.500 0.160
Se1 0.210 0.168 0.342
```

Output
- ρ: 5570 kg/m3
- Raw total energy: -3.5757 eV per atom
- V: 35.942 A^3/atom
- Energy relative to the elements, uncorrected: -0.392 eV/atom

***

4.
Material: TbPmAl6
Method: DFT, PBE-GGA
State: optimized geometry

The structure in CIF format:
```
data_TbPmAl6
_chemical_formula_sum 'Tb1 Pm1 Al6'
_space_group_name_H-M_alt 'P -6 m 2'
_space_group_IT_number 187
_space_group_name_Hall 'P -6 2'
_cell_length_a 6.3537
_cell_length_b 6.3537
_cell_length_c 4.6557
_cell_angle_alpha 90.00
_cell_angle_beta 90.00
_cell_angle_gamma 120.00
loop_
_atom_site_label
_atom_site_fract_x
_atom_site_fract_y
_atom_site_fract_z
Tb1 0.0000 0.0000 0.0000
Pm1 0.3333 0.6667 0.5000
Al1 0.3769 0.1884 0.5000
Al2 0.5236 0.0471 0.0000
```

Output
- Energy of formation: -0.442 eV/atom
- DOS(E_F): 3.37 states/eV/f.u.
- ρ: 4750 kg/m3
- Raw total energy: -4.4215 eV per atom
- V: 20.355 A^3/atom

***

5.
Material: MgAg3
Method: DFT, PBE-GGA
State: optimized geometry

The structure in CIF format:
```
data_MgAg3
_chemical_formula_sum 'Mg4 Ag12'
_space_group_name_H-M_alt 'P n m a'
_space_group_IT_number 62
_space_group_name_Hall '-P 2ac 2n'
_cell_length_a 5.092
_cell_length_b 9.646
_cell_length_c 5.912
_cell_angle_alpha 90.00
_cell_angle_beta 90.00
_cell_angle_gamma 90.00
loop_
_atom_site_label
_atom_site_fract_x
_atom_site_fract_y
_atom_site_fract_z
Mg1 0.089 0.250 0.105
Ag1 0.090 0.250 0.615
Ag2 0.248 0.002 0.369
```

Output
- Energy of formation: -0.115 eV/atom
- Energy above the most stable polymorph in this dataset: 48.3 meV/atom
- DOS(E_F): 1.12 states/eV/f.u.
- ρ: 7959 kg/m3
- Raw total energy: -2.6521 eV per atom
- V: 18.146 A^3/atom

***

Question: Which value of ρ does entry 5 give?
Answer: 7959 kg/m3